Below is a geometry-optimized Li3ZnSn4 structure, with properties calculated at the PBE-GGA level.

The structure in POSCAR format:
```
Li3ZnSn4
1.0
-1.710 -1.840 1.827
5.139 -1.714 3.084
-2.921 8.723 3.413
Sn Zn Li
4 1 3
Direct
0.375 0.129 0.750
0.625 0.380 0.250
0.375 0.620 0.750
0.625 0.871 0.250
0.500 0.000 0.000
0.000 0.500 0.000
0.765 0.765 0.529
0.235 0.235 0.471
```

## Properties
calculated total energy: -3.08 eV/atom
SG: Immm (71)
ΔH_f (0 K): -4.54 kcal/mol of atoms